Compound: NbAlCr4
Source: Alexandria
Functional: PBE-GGA
Structure: relaxed

Results
ΔH_f (0 K) in eV/atom: -0.106
Polymorph energy (0 for the lowest one) in meV/atom: 0

```
data_NbAlCr4
_chemical_formula_sum 'Nb1 Al1 Cr4'
_cell_length_a 4.844
_cell_length_b 4.844
_cell_length_c 4.844
_cell_angle_alpha 60.00
_cell_angle_beta 60.00
_cell_angle_gamma 60.00
_space_group_name_H-M_alt 'P 1'
_space_group_IT_number 1
_space_group_name_Hall 'P 1'
loop_
_atom_site_label
_atom_site_type_symbol
_atom_site_fract_x
_atom_site_fract_y
_atom_site_fract_z
_atom_site_occupancy
Nb1 Nb 0.000 0.000 0.000 1
Al1 Al 0.750 0.750 0.750 1
Cr1 Cr 0.376 0.376 0.376 1
Cr2 Cr 0.376 0.376 0.872 1
Cr3 Cr 0.376 0.872 0.376 1
Cr4 Cr 0.872 0.376 0.376 1
```


Compound: TbCeTe2
Source: Alexandria
Functional: PBE-GGA
Structure: relaxed

Results
Raw formation energy in meV per atom: -1219.9
Polymorph energy (0 for the lowest one) in meV/atom: 131

```
data_TbCeTe2
_chemical_formula_sum 'Tb1 Ce1 Te2'
_cell_length_a 5.407
_cell_length_b 5.407
_cell_length_c 3.832
_cell_angle_alpha 90.00
_cell_angle_beta 90.00
_cell_angle_gamma 90.00
_space_group_name_H-M_alt 'P 1'
_space_group_IT_number 1
_space_group_name_Hall 'P 1'
loop_
_atom_site_label
_atom_site_type_symbol
_atom_site_fract_x
_atom_site_fract_y
_atom_site_fract_z
_atom_site_occupancy
Tb1 Tb 0.000 0.000 0.000 1
Ce1 Ce 0.500 0.500 0.000 1
Te1 Te 0.000 0.500 0.500 1
Te2 Te 0.500 0.000 0.500 1
```


Compound: La2Cu2PdPt5
Source: Alexandria
Functional: PBE-GGA
Structure: relaxed

Results
ΔH_f (0 K) in eV/atom: -0.714

```
data_La2Cu2PdPt5
_chemical_formula_sum 'La4 Cu4 Pd2 Pt10'
_cell_length_a 9.445
_cell_length_b 9.445
_cell_length_c 4.048
_cell_angle_alpha 90.00
_cell_angle_beta 90.00
_cell_angle_gamma 90.00
_space_group_name_H-M_alt 'P 1'
_space_group_IT_number 1
_space_group_name_Hall 'P 1'
loop_
_atom_site_label
_atom_site_type_symbol
_atom_site_fract_x
_atom_site_fract_y
_atom_site_fract_z
_atom_site_occupancy
La1 La 0.184 0.316 0.000 1
La2 La 0.316 0.816 0.000 1
La3 La 0.684 0.184 0.000 1
La4 La 0.816 0.684 0.000 1
Cu1 Cu 0.115 0.615 0.000 1
Cu2 Cu 0.385 0.115 0.000 1
Cu3 Cu 0.615 0.885 0.000 1
Cu4 Cu 0.885 0.385 0.000 1
Pd1 Pd 0.000 0.000 0.000 1
Pd2 Pd 0.500 0.500 0.000 1
Pt1 Pt 0.000 0.500 0.500 1
Pt2 Pt 0.060 0.792 0.500 1
Pt3 Pt 0.208 0.060 0.500 1
Pt4 Pt 0.292 0.560 0.500 1
Pt5 Pt 0.440 0.292 0.500 1
Pt6 Pt 0.500 0.000 0.500 1
Pt7 Pt 0.560 0.708 0.500 1
Pt8 Pt 0.708 0.440 0.500 1
Pt9 Pt 0.792 0.940 0.500 1
Pt10 Pt 0.940 0.208 0.500 1
```


Compound: Ho4Nb6O19
Source: Alexandria
Functional: PBE-GGA
Structure: relaxed

Results
Raw formation energy in meV per atom: -2815.4

```
data_Ho4Nb6O19
_chemical_formula_sum 'Ho4 Nb6 O19'
_cell_length_a 7.900
_cell_length_b 7.900
_cell_length_c 7.900
_cell_angle_alpha 109.47
_cell_angle_beta 109.47
_cell_angle_gamma 109.47
_space_group_name_H-M_alt 'P 1'
_space_group_IT_number 1
_space_group_name_Hall 'P 1'
loop_
_atom_site_label
_atom_site_type_symbol
_atom_site_fract_x
_atom_site_fract_y
_atom_site_fract_z
_atom_site_occupancy
Ho1 Ho 0.000 0.000 0.287 1
Ho2 Ho 0.000 0.287 0.000 1
Ho3 Ho 0.287 0.000 0.000 1
Ho4 Ho 0.713 0.713 0.713 1
Nb1 Nb 0.153 0.500 0.653 1
Nb2 Nb 0.347 0.847 0.500 1
Nb3 Nb 0.500 0.347 0.847 1
Nb4 Nb 0.500 0.653 0.153 1
Nb5 Nb 0.653 0.153 0.500 1
Nb6 Nb 0.847 0.500 0.347 1
O1 O 0.000 0.000 0.000 1
O2 O 0.000 0.328 0.328 1
O3 O 0.000 0.672 0.672 1
O4 O 0.030 0.757 0.363 1
O5 O 0.243 0.273 0.606 1
O6 O 0.273 0.606 0.243 1
O7 O 0.328 0.000 0.328 1
O8 O 0.328 0.328 0.000 1
O9 O 0.333 0.727 0.970 1
O10 O 0.363 0.030 0.757 1
O11 O 0.394 0.667 0.637 1
O12 O 0.606 0.243 0.273 1
O13 O 0.637 0.394 0.667 1
O14 O 0.667 0.637 0.394 1
O15 O 0.672 0.000 0.672 1
O16 O 0.672 0.672 0.000 1
O17 O 0.727 0.970 0.333 1
O18 O 0.757 0.363 0.030 1
O19 O 0.970 0.333 0.727 1
```


Compound: Zn2CrCl
Source: Alexandria
Functional: PBE-GGA
Structure: relaxed

Results
Raw formation energy in meV per atom: 45.1
Polymorph energy (0 for the lowest one) in meV/atom: 0

```
data_Zn2CrCl
_chemical_formula_sum 'Zn2 Cr1 Cl1'
_cell_length_a 4.637
_cell_length_b 4.637
_cell_length_c 7.559
_cell_angle_alpha 120.70
_cell_angle_beta 120.70
_cell_angle_gamma 38.95
_space_group_name_H-M_alt 'P 1'
_space_group_IT_number 1
_space_group_name_Hall 'P 1'
loop_
_atom_site_label
_atom_site_type_symbol
_atom_site_fract_x
_atom_site_fract_y
_atom_site_fract_z
_atom_site_occupancy
Zn1 Zn 0.000 0.000 0.000 1
Zn2 Zn 0.652 0.652 0.856 1
Cr1 Cr 0.368 0.368 0.178 1
Cl1 Cl 0.980 0.980 0.470 1
```


Compound: KMg2TaCd
Source: Alexandria
Functional: PBE-GGA
Structure: relaxed

Results
ΔH_f (0 K) in eV/atom: 1.282

```
data_KMg2TaCd
_chemical_formula_sum 'K1 Mg2 Ta1 Cd1'
_cell_length_a 5.655
_cell_length_b 5.655
_cell_length_c 6.485
_cell_angle_alpha 90.00
_cell_angle_beta 90.00
_cell_angle_gamma 90.00
_space_group_name_H-M_alt 'P 1'
_space_group_IT_number 1
_space_group_name_Hall 'P 1'
loop_
_atom_site_label
_atom_site_type_symbol
_atom_site_fract_x
_atom_site_fract_y
_atom_site_fract_z
_atom_site_occupancy
K1 K 0.000 0.000 0.000 1
Mg1 Mg 0.000 0.500 0.500 1
Mg2 Mg 0.500 0.000 0.500 1
Ta1 Ta 0.000 0.000 0.500 1
Cd1 Cd 0.500 0.500 0.000 1
```


Compound: KTaN2
Source: Alexandria
Functional: PBE-GGA
Structure: relaxed

Results
Raw formation energy in meV per atom: -765.9

```
data_KTaN2
_chemical_formula_sum 'K1 Ta1 N2'
_cell_length_a 6.740
_cell_length_b 6.740
_cell_length_c 6.740
_cell_angle_alpha 27.22
_cell_angle_beta 27.22
_cell_angle_gamma 27.22
_space_group_name_H-M_alt 'P 1'
_space_group_IT_number 1
_space_group_name_Hall 'P 1'
loop_
_atom_site_label
_atom_site_type_symbol
_atom_site_fract_x
_atom_site_fract_y
_atom_site_fract_z
_atom_site_occupancy
K1 K 0.000 0.000 0.000 1
Ta1 Ta 0.829 0.829 0.829 1
N1 N 0.218 0.218 0.218 1
N2 N 0.440 0.440 0.440 1
```


Compound: TlCrFe2Sn
Source: Alexandria
Functional: PBE-GGA
Structure: relaxed

Results
ΔH_f (0 K) in eV/atom: 1.521

```
data_TlCrFe2Sn
_chemical_formula_sum 'Tl1 Cr1 Fe2 Sn1'
_cell_length_a 4.866
_cell_length_b 4.866
_cell_length_c 5.654
_cell_angle_alpha 90.00
_cell_angle_beta 90.00
_cell_angle_gamma 90.00
_space_group_name_H-M_alt 'P 1'
_space_group_IT_number 1
_space_group_name_Hall 'P 1'
loop_
_atom_site_label
_atom_site_type_symbol
_atom_site_fract_x
_atom_site_fract_y
_atom_site_fract_z
_atom_site_occupancy
Tl1 Tl 0.000 0.000 0.000 1
Cr1 Cr 0.500 0.500 0.000 1
Fe1 Fe 0.000 0.500 0.500 1
Fe2 Fe 0.500 0.000 0.500 1
Sn1 Sn 0.000 0.000 0.500 1
```


Compound: ScGe2Pd
Source: Alexandria
Functional: PBE-GGA
Structure: relaxed

Results
ΔH_f (0 K) in eV/atom: -0.599

```
data_ScGe2Pd
_chemical_formula_sum 'Sc4 Ge8 Pd4'
_cell_length_a 7.883
_cell_length_b 6.226
_cell_length_c 5.764
_cell_angle_alpha 90.00
_cell_angle_beta 90.00
_cell_angle_gamma 90.00
_space_group_name_H-M_alt 'P 1'
_space_group_IT_number 1
_space_group_name_Hall 'P 1'
loop_
_atom_site_label
_atom_site_type_symbol
_atom_site_fract_x
_atom_site_fract_y
_atom_site_fract_z
_atom_site_occupancy
Sc1 Sc 0.010 0.250 0.169 1
Sc2 Sc 0.490 0.750 0.669 1
Sc3 Sc 0.510 0.250 0.331 1
Sc4 Sc 0.990 0.750 0.831 1
Ge1 Ge 0.226 0.035 0.576 1
Ge2 Ge 0.226 0.465 0.576 1
Ge3 Ge 0.274 0.535 0.076 1
Ge4 Ge 0.274 0.965 0.076 1
Ge5 Ge 0.726 0.035 0.924 1
Ge6 Ge 0.726 0.465 0.924 1
Ge7 Ge 0.774 0.535 0.424 1
Ge8 Ge 0.774 0.965 0.424 1
Pd1 Pd 0.041 0.750 0.334 1
Pd2 Pd 0.459 0.250 0.834 1
Pd3 Pd 0.541 0.750 0.166 1
Pd4 Pd 0.959 0.250 0.666 1
```


Compound: CaTb6Dy8
Source: Alexandria
Functional: PBE-GGA
Structure: relaxed

Results
ΔH_f (0 K) in eV/atom: 0.196

```
data_CaTb6Dy8
_chemical_formula_sum 'Ca1 Tb6 Dy8'
_cell_length_a 8.163
_cell_length_b 8.163
_cell_length_c 8.163
_cell_angle_alpha 72.27
_cell_angle_beta 72.27
_cell_angle_gamma 72.27
_space_group_name_H-M_alt 'P 1'
_space_group_IT_number 1
_space_group_name_Hall 'P 1'
loop_
_atom_site_label
_atom_site_type_symbol
_atom_site_fract_x
_atom_site_fract_y
_atom_site_fract_z
_atom_site_occupancy
Ca1 Ca 0.000 0.000 0.000 1
Tb1 Tb 0.175 0.618 0.437 1
Tb2 Tb 0.382 0.563 0.825 1
Tb3 Tb 0.437 0.175 0.618 1
Tb4 Tb 0.563 0.825 0.382 1
Tb5 Tb 0.618 0.437 0.175 1
Tb6 Tb 0.825 0.382 0.563 1
Dy1 Dy 0.051 0.376 0.866 1
Dy2 Dy 0.134 0.949 0.624 1
Dy3 Dy 0.239 0.239 0.239 1
Dy4 Dy 0.376 0.866 0.051 1
Dy5 Dy 0.624 0.134 0.949 1
Dy6 Dy 0.761 0.761 0.761 1
Dy7 Dy 0.866 0.051 0.376 1
Dy8 Dy 0.949 0.624 0.134 1
```


Compound: Hf2TiSb
Source: Alexandria
Functional: PBE-GGA
Structure: relaxed

Results
Raw formation energy in meV per atom: -21.3

```
data_Hf2TiSb
_chemical_formula_sum 'Hf2 Ti1 Sb1'
_cell_length_a 9.658
_cell_length_b 9.658
_cell_length_c 9.658
_cell_angle_alpha 19.33
_cell_angle_beta 19.33
_cell_angle_gamma 19.33
_space_group_name_H-M_alt 'P 1'
_space_group_IT_number 1
_space_group_name_Hall 'P 1'
loop_
_atom_site_label
_atom_site_type_symbol
_atom_site_fract_x
_atom_site_fract_y
_atom_site_fract_z
_atom_site_occupancy
Hf1 Hf 0.248 0.248 0.248 1
Hf2 Hf 0.752 0.752 0.752 1
Ti1 Ti 0.500 0.500 0.500 1
Sb1 Sb 0.000 0.000 0.000 1
```


Compound: LaTl2
Source: Alexandria
Functional: PBE-GGA
Structure: relaxed

Results
ΔH_f (0 K) in eV/atom: -0.345

```
data_LaTl2
_chemical_formula_sum 'La2 Tl4'
_cell_length_a 5.537
_cell_length_b 5.537
_cell_length_c 6.837
_cell_angle_alpha 90.00
_cell_angle_beta 90.00
_cell_angle_gamma 120.00
_space_group_name_H-M_alt 'P 1'
_space_group_IT_number 1
_space_group_name_Hall 'P 1'
loop_
_atom_site_label
_atom_site_type_symbol
_atom_site_fract_x
_atom_site_fract_y
_atom_site_fract_z
_atom_site_occupancy
La1 La 0.333 0.667 0.250 1
La2 La 0.667 0.333 0.750 1
Tl1 Tl 0.000 0.000 0.000 1
Tl2 Tl 0.000 0.000 0.500 1
Tl3 Tl 0.333 0.667 0.750 1
Tl4 Tl 0.667 0.333 0.250 1
```